{
  "formula": "LiZrFe",
  "functional": "GGA-PBEsol",
  "state": "relaxed",
  "m_tot_mub_per_atom": 0.228,
  "formation_enthalpy_0k_ev_per_atom": 0.64,
  "relative_energy_ev_per_atom": 0.2191,
  "rho_g_cm3": 5.0,
  "space_group": "F-43m, No. 216",
  "lattice": [[0.000, 2.937, 2.937], [2.937, 0.000, 2.937], [2.937, 2.937, 0.000]],
  "species": ["Li", "Zr", "Fe"],
  "fractional_positions": [[0.000, 0.000, 0.000], [0.500, 0.500, 0.500], [0.750, 0.750, 0.750]]
}